Record 1
Entry from the Open Quantum Materials Database: crystalline NpCuMo at its relaxed geometry (GGA-PBE).

Unit cell a=4.327 b=4.327 c=4.327 alpha=60.00 beta=60.00 gamma=60.00
Last column: magnetic moment on the atom in μB.
Sites, in units of the cell vectors:
Mo: 0.000 0.000 0.000  -0.53
Np: 0.250 0.250 0.250  2.57
Cu: 0.500 0.500 0.500  0.00

- Crystal system: cubic
- Polymorph energy (0 for the lowest one): 161.0 meV per atom
- ΔH_f (0 K): 3.34 eV/f.u.
- Space-group type: F-43m, No. 216

Record 2
Entry from the Open Quantum Materials Database: crystalline BaHoAgTe2Se at its relaxed geometry (GGA-PBE).

Unit cell a=7.867 b=7.867 c=10.943 alpha=90.00 beta=90.00 gamma=147.73
Sites, in units of the cell vectors:
Ba: 0.761 0.239 0.250
Ba: 0.239 0.761 0.750
Ag: 0.029 0.971 0.250
Ag: 0.971 0.029 0.750
Te: 0.141 0.859 0.049
Te: 0.859 0.141 0.951
Te: 0.859 0.141 0.549
Te: 0.141 0.859 0.451
Se: 0.573 0.427 0.750
Se: 0.427 0.573 0.250
Ho: 0.500 0.500 0.500
Ho: 0.500 0.500 0.000

- Crystal system: orthorhombic
- Raw total energy: -4.529 eV/atom
- Space-group type: Cmcm, No. 63